Record 1
## TbNdDy5Tm2 (PBE)

Data for an optimized crystal structure of TbNdDy5Tm2.

CIF file:
```
data_TbNdDy5Tm2
_chemical_formula_sum 'Tb2 Nd2 Dy10 Tm4'
_cell_length_a 5.5923
_cell_length_b 10.2991
_cell_length_c 10.5094
_cell_angle_alpha 90.00
_cell_angle_beta 90.00
_cell_angle_gamma 105.75
_symmetry_space_group_name_H-M 'P 1'
_symmetry_Int_Tables_number 1
_symmetry_space_group_name_Hall 'P 1'
loop_
_atom_site_label
_atom_site_fract_x
_atom_site_fract_y
_atom_site_fract_z
Tm1 0.8890 0.7780 0.2355
Tb1 0.8006 0.6012 0.5124
Tb2 0.1994 0.3988 0.0124
Dy1 0.3886 0.7771 0.0238
Tm2 0.1139 0.2279 0.3193
Dy2 0.2985 0.5970 0.7089
Dy3 0.6114 0.2229 0.5238
Dy4 0.4779 0.9558 0.7372
Dy5 0.7015 0.4030 0.2089
Dy6 0.0174 0.0348 0.0245
Dy7 0.7190 0.4381 0.8123
Dy8 0.2810 0.5619 0.3123
Nd1 0.5842 0.1685 0.9501
Tm3 0.1110 0.2220 0.7355
Dy9 0.5221 0.0442 0.2372
Dy10 0.9826 0.9652 0.5245
Tm4 0.8861 0.7721 0.8193
Nd2 0.4158 0.8315 0.4501
```

calculated volume: 583 Å³/cell
electronic total energy: -4.43 eV/atom
D(E_F): 28.98 states/eV/cell
E_form: 1.5 eV per formula unit

Record 2
## Tb2Nd3DyTm6 (PBE)

Data for an optimized crystal structure of Tb2Nd3DyTm6.

CIF file:
```
data_Tb2Nd3DyTm6
_chemical_formula_sum 'Tb2 Nd3 Dy1 Tm6'
_cell_length_a 6.1634
_cell_length_b 6.1634
_cell_length_c 11.6873
_cell_angle_alpha 95.02
_cell_angle_beta 95.02
_cell_angle_gamma 119.97
_symmetry_space_group_name_H-M 'P 1'
_symmetry_Int_Tables_number 1
_symmetry_space_group_name_Hall 'P 1'
loop_
_atom_site_label
_atom_site_fract_x
_atom_site_fract_y
_atom_site_fract_z
Tm1 0.0824 0.4158 0.2469
Tm2 0.4158 0.0824 0.2469
Tb1 0.3334 0.6666 0.0000
Tm3 0.2508 0.2508 0.7530
Nd1 0.1667 0.8333 0.5000
Tm4 0.9176 0.5842 0.7531
Tb2 0.6666 0.3334 0.0000
Nd2 0.5000 0.5000 0.5000
Tm5 0.5842 0.9176 0.7531
Dy1 0.0000 0.0000 0.0000
Nd3 0.8333 0.1667 0.5000
Tm6 0.7492 0.7492 0.2470
```

calculated volume: 379 Å³/cell
electronic total energy: -4.56 eV/atom
D(E_F): 14.69 states/eV/cell
E_form: 0.3 eV per formula unit

Record 3
## Tb6Nd2DyTm (PBE)

Data for an optimized crystal structure of Tb6Nd2DyTm.

CIF file:
```
data_Tb6Nd2DyTm
_chemical_formula_sum 'Tb12 Nd4 Dy2 Tm2'
_cell_length_a 9.7076
_cell_length_b 8.7942
_cell_length_c 8.7942
_cell_angle_alpha 118.12
_cell_angle_beta 94.53
_cell_angle_gamma 94.53
_symmetry_space_group_name_H-M 'P 1'
_symmetry_Int_Tables_number 1
_symmetry_space_group_name_Hall 'P 1'
loop_
_atom_site_label
_atom_site_fract_x
_atom_site_fract_y
_atom_site_fract_z
Dy1 0.2500 0.9818 0.0182
Tm1 0.7500 0.5927 0.4073
Tb1 0.8119 0.4251 0.9806
Tm2 0.2500 0.4073 0.5927
Nd1 0.9578 0.7020 0.8052
Tb2 0.3804 0.5025 0.2922
Tb3 0.8804 0.2922 0.5025
Tb4 0.9433 0.8749 0.2538
Tb5 0.6196 0.4975 0.7078
Tb6 0.3119 0.9806 0.4251
Tb7 0.5567 0.7462 0.1251
Nd2 0.5422 0.1948 0.2980
Dy2 0.7500 0.0182 0.9818
Nd3 0.0422 0.2980 0.1948
Tb8 0.0567 0.1251 0.7462
Tb9 0.6881 0.0194 0.5749
Tb10 0.1196 0.7078 0.4975
Tb11 0.1881 0.5749 0.0194
Nd4 0.4578 0.8052 0.7020
Tb12 0.4433 0.2538 0.8749
```

calculated volume: 654 Å³/cell
electronic total energy: -4.52 eV/atom
D(E_F): 27.16 states/eV/cell
E_form: 1.2 eV per formula unit

Record 4
## Tb3Nd6DyTm2 (PBE)

Data for an optimized crystal structure of Tb3Nd6DyTm2.

CIF file:
```
data_Tb3Nd6DyTm2
_chemical_formula_sum 'Tb3 Nd6 Dy1 Tm2'
_cell_length_a 6.2657
_cell_length_b 6.2657
_cell_length_c 11.8444
_cell_angle_alpha 95.04
_cell_angle_beta 95.04
_cell_angle_gamma 120.00
_symmetry_space_group_name_H-M 'P 1'
_symmetry_Int_Tables_number 1
_symmetry_space_group_name_Hall 'P 1'
loop_
_atom_site_label
_atom_site_fract_x
_atom_site_fract_y
_atom_site_fract_z
Tb1 0.5000 0.5000 0.5000
Nd1 0.2505 0.2505 0.7517
Nd2 0.0833 0.4170 0.2485
Tb2 0.1667 0.8333 0.5000
Nd3 0.9167 0.5830 0.7515
Nd4 0.7495 0.7495 0.2483
Dy1 0.0000 0.0000 0.0000
Tm1 0.3333 0.6667 0.0000
Nd5 0.5830 0.9167 0.7515
Nd6 0.4170 0.0833 0.2485
Tb3 0.8333 0.1667 0.5000
Tm2 0.6667 0.3333 0.0000
```

calculated volume: 396 Å³/cell
electronic total energy: -4.66 eV/atom
D(E_F): 13.42 states/eV/cell
E_form: 0.1 eV per formula unit

Record 5
## Tb2Nd2Dy4Tm (PBE)

Data for an optimized crystal structure of Tb2Nd2Dy4Tm.

CIF file:
```
data_Tb2Nd2Dy4Tm
_chemical_formula_sum 'Tb2 Nd2 Dy4 Tm1'
_cell_length_a 3.6035
_cell_length_b 9.5156
_cell_length_c 9.5719
_cell_angle_alpha 115.18
_cell_angle_beta 90.00
_cell_angle_gamma 100.91
_symmetry_space_group_name_H-M 'P 1'
_symmetry_Int_Tables_number 1
_symmetry_space_group_name_Hall 'P 1'
loop_
_atom_site_label
_atom_site_fract_x
_atom_site_fract_y
_atom_site_fract_z
Dy1 0.4808 0.9617 0.6664
Dy2 0.1852 0.3705 0.3353
Nd1 0.3350 0.6700 0.0011
Tm1 0.0000 0.0000 0.0000
Tb1 0.1471 0.2942 0.6627
Nd2 0.6650 0.3300 0.9989
Dy3 0.5192 0.0383 0.3336
Tb2 0.8529 0.7058 0.3373
Dy4 0.8148 0.6295 0.6647
```

calculated volume: 290 Å³/cell
electronic total energy: -4.63 eV/atom
D(E_F): 11.99 states/eV/cell
E_form: 0.0 eV per formula unit

Record 6
## TbNdDy2Tm (PBE)

Data for an optimized crystal structure of TbNdDy2Tm.

CIF file:
```
data_TbNdDy2Tm
_chemical_formula_sum 'Tb2 Nd2 Dy4 Tm2'
_cell_length_a 7.1903
_cell_length_b 8.3910
_cell_length_c 7.1015
_cell_angle_alpha 126.21
_cell_angle_beta 90.00
_cell_angle_gamma 90.00
_symmetry_space_group_name_H-M 'P 1'
_symmetry_Int_Tables_number 1
_symmetry_space_group_name_Hall 'P 1'
loop_
_atom_site_label
_atom_site_fract_x
_atom_site_fract_y
_atom_site_fract_z
Dy1 0.5000 0.3105 0.0000
Tb1 0.7500 0.0025 0.0050
Nd1 0.2500 0.7276 0.4551
Tm1 0.2500 0.2773 0.5546
Dy2 0.0000 0.6895 0.0000
Dy3 0.0000 0.3105 0.0000
Tb2 0.2500 0.9975 0.9950
Nd2 0.7500 0.2724 0.5449
Tm2 0.7500 0.7227 0.4454
Dy4 0.5000 0.6895 0.0000
```

calculated volume: 346 Å³/cell
electronic total energy: -4.22 eV/atom
D(E_F): 15.31 states/eV/cell
E_form: 2.0 eV per formula unit